P:
The following is a PBE calculation of a relaxed structure of EuIn2Ge, from Alexandria.

Summary:
For the density of states at the Fermi level, the calculation gives 9.72 states/eV per cell.

abc: 6.476 6.476 6.476
angles: 42.63 42.63 42.63
Fractional coordinates of all 4 atoms:
Eu: 0.000 0.000 0.000
In: 0.227 0.227 0.227
In: 0.773 0.773 0.773
Ge: 0.500 0.500 0.500


Q:
The following is a PBE calculation of a relaxed structure of EuIn2Ge, from Alexandria.

Summary:
For the density of states at the Fermi level, the calculation gives 2.05 states/eV per cell.

abc: 4.507 4.507 4.882
angles: 90.00 90.00 90.00
Fractional coordinates of all 4 atoms:
Eu: 0.000 0.000 0.000
In: 0.000 0.500 0.500
In: 0.500 0.000 0.500
Ge: 0.500 0.500 0.000


Most stable structure: Q


P:
The following is a PBE calculation of a relaxed structure of LaEuGe2, from Alexandria.

Summary:
For the density of states at the Fermi level, the calculation gives 2.83 states/eV per cell.

abc: 3.501 3.501 8.364
angles: 90.00 90.00 90.00
Fractional coordinates of all 4 atoms:
La: 0.000 0.000 0.000
Eu: 0.000 0.000 0.500
Ge: 0.500 0.500 0.251
Ge: 0.500 0.500 0.749


Q:
The following is a PBE calculation of a relaxed structure of LaEuGe2, from Alexandria.

Summary:
For the density of states at the Fermi level, the calculation gives 4.85 states/eV per cell.

abc: 5.281 5.281 5.281
angles: 60.00 60.00 60.00
Fractional coordinates of all 4 atoms:
La: 0.000 0.000 0.000
Eu: 0.500 0.500 0.500
Ge: 0.250 0.250 0.250
Ge: 0.750 0.750 0.750


Most stable structure: P


P:
The following is a PBE calculation of a relaxed structure of EuPaGe2, from Alexandria.

Summary:
For the density of states at the Fermi level, the calculation gives 4.85 states/eV per cell.

abc: 3.344 3.344 8.267
angles: 90.00 90.00 90.00
Fractional coordinates of all 4 atoms:
Eu: 0.000 0.000 0.000
Pa: 0.000 0.000 0.500
Ge: 0.500 0.500 0.260
Ge: 0.500 0.500 0.740


Q:
The following is a PBE calculation of a relaxed structure of EuPaGe2, from Alexandria.

Summary:
For the density of states at the Fermi level, the calculation gives 7.12 states/eV per cell.

abc: 5.101 5.101 5.101
angles: 60.00 60.00 60.00
Fractional coordinates of all 4 atoms:
Eu: 0.000 0.000 0.000
Pa: 0.500 0.500 0.500
Ge: 0.250 0.250 0.250
Ge: 0.750 0.750 0.750


Most stable structure: P


P:
The following is a PBE calculation of a relaxed structure of EuGePb, from Alexandria.

Summary:
For the density of states at the Fermi level, the calculation gives 4.66 states/eV per cell.

abc: 5.110 5.110 5.110
angles: 60.00 60.00 60.00
Fractional coordinates of all 3 atoms:
Eu: 0.000 0.000 0.000
Ge: 0.250 0.250 0.250
Pb: 0.500 0.500 0.500


Q:
The following is a PBE calculation of a relaxed structure of EuGePb, from Alexandria.

Summary:
For the density of states at the Fermi level, the calculation gives 0.52 states/eV per cell.

abc: 4.490 4.490 5.061
angles: 90.00 90.00 120.00
Fractional coordinates of all 3 atoms:
Eu: 0.000 0.000 0.000
Ge: 0.333 0.667 0.313
Pb: 0.667 0.333 0.563


Most stable structure: Q


P:
The following is a PBE calculation of a relaxed structure of PrEuGe2, from Alexandria.

Summary:
For the density of states at the Fermi level, the calculation gives 2.20 states/eV per cell.

abc: 5.254 5.254 5.254
angles: 60.00 60.00 60.00
Fractional coordinates of all 4 atoms:
Pr: 0.000 0.000 0.000
Eu: 0.500 0.500 0.500
Ge: 0.250 0.250 0.250
Ge: 0.750 0.750 0.750


Q:
The following is a PBE calculation of a relaxed structure of PrEuGe2, from Alexandria.

Summary:
For the density of states at the Fermi level, the calculation gives 2.55 states/eV per cell.

abc: 3.492 3.492 8.324
angles: 90.00 90.00 90.00
Fractional coordinates of all 4 atoms:
Pr: 0.000 0.000 0.000
Eu: 0.000 0.000 0.500
Ge: 0.500 0.500 0.250
Ge: 0.500 0.500 0.750


Most stable structure: Q


P:
The following is a PBE calculation of a relaxed structure of EuGeSb2, from Alexandria.

Summary:
For the density of states at the Fermi level, the calculation gives 3.12 states/eV per cell.

abc: 4.715 4.715 4.665
angles: 90.00 90.00 90.00
Fractional coordinates of all 4 atoms:
Eu: 0.000 0.000 0.000
Ge: 0.500 0.500 0.000
Sb: 0.000 0.500 0.500
Sb: 0.500 0.000 0.500


Q:
The following is a PBE calculation of a relaxed structure of EuGeSb2, from Alexandria.

Summary:
For the density of states at the Fermi level, the calculation gives 3.01 states/eV per cell.

abc: 10.264 10.264 10.264
angles: 21.42 21.42 21.42
Fractional coordinates of all 4 atoms:
Eu: 0.000 0.000 0.000
Ge: 0.500 0.500 0.500
Sb: 0.107 0.107 0.107
Sb: 0.893 0.893 0.893


Most stable structure: P


P:
The following is a PBE calculation of a relaxed structure of EuScGe2, from Alexandria.

Summary:
For the density of states at the Fermi level, the calculation gives 2.52 states/eV per cell.

abc: 3.677 3.677 6.593
angles: 90.00 90.00 90.00
Fractional coordinates of all 4 atoms:
Eu: 0.000 0.000 0.000
Sc: 0.000 0.000 0.500
Ge: 0.500 0.500 0.302
Ge: 0.500 0.500 0.698


Q:
The following is a PBE calculation of a relaxed structure of EuScGe2, from Alexandria.

Summary:
For the density of states at the Fermi level, the calculation gives 5.45 states/eV per cell.

abc: 5.971 5.971 5.971
angles: 44.58 44.58 44.58
Fractional coordinates of all 4 atoms:
Eu: 0.000 0.000 0.000
Sc: 0.500 0.500 0.500
Ge: 0.232 0.232 0.232
Ge: 0.768 0.768 0.768


Most stable structure: P


P:
The following is a PBE calculation of a relaxed structure of EuSiGe2, from Alexandria.

Summary:
For the density of states at the Fermi level, the calculation gives 1.18 states/eV per cell.

abc: 5.781 5.781 5.781
angles: 45.06 45.06 45.06
Fractional coordinates of all 4 atoms:
Eu: 0.000 0.000 0.000
Si: 0.500 0.500 0.500
Ge: 0.212 0.212 0.212
Ge: 0.788 0.788 0.788


Q:
The following is a PBE calculation of a relaxed structure of EuSiGe2, from Alexandria.

Summary:
For the density of states at the Fermi level, the calculation gives 1.90 states/eV per cell.

abc: 4.323 4.323 4.305
angles: 90.00 90.00 90.00
Fractional coordinates of all 4 atoms:
Eu: 0.000 0.000 0.000
Si: 0.500 0.500 0.000
Ge: 0.000 0.500 0.500
Ge: 0.500 0.000 0.500


Most stable structure: Q